VASP calculation (PBE) on an optimized crystal structure of Cs2CeAl2O6.

```
Cs2CeAl2O6
1.0
3.0658 1.7700 6.5797
-3.0658 1.7700 6.5797
0.0000 -3.5401 6.5797
Cs Ce Al O
2 1 2 6
Direct
0.2076 0.2076 0.2076
0.7924 0.7924 0.7924
0.0000 0.0000 0.0000
0.3996 0.3996 0.3996
0.6004 0.6004 0.6004
0.2405 0.2405 0.7248
0.2405 0.7248 0.2405
0.2752 0.7595 0.7595
0.7248 0.2405 0.2405
0.7595 0.2752 0.7595
0.7595 0.7595 0.2752
```

Results
space group: R-3m (166)
ΔE_f (raw): -2525 meV/atom
E_tot: -72.65 eV for the cell shown